Entry 1:
Material: CdGa2Sb2
Method: DFT, PBEsol
State: optimized geometry

```
CdGa2Sb2
1.0
-0.470 4.053 0.405
-3.587 -0.605 1.892
5.453 -1.968 5.267
Sb Ga Cd
2 2 1
Cartesian
2.621 -0.187 4.910 Sb
-1.225 1.667 2.653 Sb
-0.081 -0.424 4.153 Ga
1.478 1.904 3.410 Ga
0.000 0.000 0.000 Cd
```

Entry 2:
Material: ScCd2Ga2
Method: DFT, PBEsol
State: optimized geometry

```
ScCd2Ga2
1.0
4.126 0.000 0.000
0.000 4.126 0.000
-2.063 -2.063 5.732
Sc Ga Cd
1 2 2
Cartesian
0.000 0.000 0.000 Sc
0.000 0.000 4.574 Ga
2.063 2.063 1.158 Ga
0.000 2.063 2.866 Cd
2.063 0.000 2.866 Cd
```

Output
The calculation puts the energy of formation at -0.21 eV/atom.

Entry 3:
Material: CdGa2Se
Method: DFT, PBEsol
State: optimized geometry

```
CdGa2Se
1.0
4.906 0.000 0.000
2.453 4.249 0.000
2.453 1.416 4.006
Ga Se Cd
2 1 1
Cartesian
2.453 1.416 1.001 Ga
7.359 4.249 3.004 Ga
0.000 0.000 0.000 Se
4.906 2.833 2.003 Cd
```

Entry 4:
Material: CdGaSe3
Method: DFT, PBEsol
State: optimized geometry

```
CdGaSe3
1.0
4.908 0.000 0.000
0.000 4.908 0.000
0.000 0.000 4.908
Ga Se Cd
1 3 1
Cartesian
0.000 0.000 0.000 Ga
0.000 2.454 0.000 Se
0.000 0.000 2.454 Se
2.454 0.000 0.000 Se
2.454 2.454 2.454 Cd
```

Entry 5:
Material: CdGa2Si2
Method: DFT, PBEsol
State: optimized geometry

```
CdGa2Si2
1.0
-3.494 -2.240 1.505
0.109 -2.577 -3.582
4.650 -0.661 3.337
Si Ga Cd
2 2 1
Cartesian
2.252 -2.336 1.750 Si
-0.985 -3.142 -0.489 Si
1.534 -2.823 -0.642 Ga
-0.268 -2.655 1.902 Ga
0.000 0.000 0.000 Cd
```

Entry 6:
Material: CdGaSn2
Method: DFT, PBEsol
State: optimized geometry

```
CdGaSn2
1.0
-3.834 -0.673 1.834
0.540 -4.248 -0.430
6.200 2.089 8.680
Sn Ga Cd
4 2 2
Cartesian
0.572 -3.449 2.487 Sn
-1.591 -1.657 3.608 Sn
4.240 0.938 6.684 Sn
2.589 -1.495 7.389 Sn
0.359 -0.522 5.608 Ga
-1.647 -2.460 0.702 Ga
2.546 -2.309 4.476 Cd
0.000 0.000 0.000 Cd
```

Output
The calculation puts the energy of formation at 0.09 eV/atom.

Entry 7:
Material: CdGaSn2
Method: DFT, PBEsol
State: optimized geometry

```
CdGaSn2
1.0
-2.356 1.636 -4.190
-2.522 -3.283 -2.941
-5.074 0.126 -0.175
Sn Ga Cd
2 1 1
Cartesian
-2.488 -0.380 -1.826 Sn
-7.464 -1.141 -5.479 Sn
0.000 0.000 0.000 Ga
-4.976 -0.761 -3.653 Cd
```

Output
The calculation puts the energy of formation at 0.08 eV/atom.

Entry 8:
Material: Sr2CdGa
Method: DFT, PBEsol
State: optimized geometry

```
Sr2CdGa
1.0
-1.797 -3.910 3.441
0.675 -5.317 -1.277
3.611 -3.071 2.809
Sr Ga Cd
2 1 1
Cartesian
0.622 -3.074 1.243 Sr
1.867 -9.223 3.730 Sr
0.000 0.000 0.000 Ga
1.245 -6.149 2.486 Cd
```

Output
The calculation puts the energy of formation at -0.34 eV/atom.

Entry 9:
Material: SrCd3Ga
Method: DFT, PBEsol
State: optimized geometry

```
SrCd3Ga
1.0
-0.657 -0.642 5.075
-4.902 -1.382 -0.810
1.461 -4.927 -0.434
Sr Ga Cd
1 1 3
Cartesian
-2.049 -3.476 1.915 Sr
0.000 0.000 0.000 Ga
-2.451 -0.691 -0.405 Cd
0.731 -2.463 -0.217 Cd
-0.329 -0.321 2.537 Cd
```

Output
The calculation puts the energy of formation at 0.01 eV/atom.

Entry 10:
Material: SrCdGa
Method: DFT, PBEsol
State: optimized geometry

```
SrCdGa
1.0
-3.866 0.427 2.759
-5.147 -1.563 -2.850
-1.429 -5.201 2.923
Sr Ga Cd
2 2 2
Cartesian
-8.193 -2.386 1.251 Sr
-2.250 -3.952 1.580 Sr
-2.529 -0.705 0.686 Ga
-7.913 -5.632 2.145 Ga
-4.989 -1.697 1.513 Cd
-5.453 -4.641 1.318 Cd
```

Output
The calculation puts the energy of formation at -0.43 eV/atom.

Entry 11:
Material: Cd2Ga2Te
Method: DFT, PBEsol
State: optimized geometry

```
Cd2Ga2Te
1.0
-0.697 0.280 -3.804
3.080 -2.239 -0.729
-5.522 -5.089 2.612
Te Ga Cd
1 2 2
Cartesian
0.000 0.000 0.000 Te
-0.625 -4.154 -0.192 Ga
-2.513 -2.894 -1.729 Ga
-3.456 -4.842 0.276 Cd
0.317 -2.205 -2.197 Cd
```

Entry 12:
Material: CdGa2Te4
Method: DFT, PBEsol
State: optimized geometry

```
CdGa2Te4
1.0
6.090 0.000 0.000
0.000 6.090 0.000
-3.045 -3.045 5.894
Te Ga Cd
4 2 1
Cartesian
1.497 4.382 1.652 Te
1.337 1.548 4.242 Te
-1.337 -1.548 4.242 Te
4.593 1.708 1.652 Te
3.045 0.000 2.947 Ga
3.045 3.045 0.000 Ga
0.000 0.000 0.000 Cd
```

Volume for every record listed, in sequence, given in Å³ per cell: 122.3; 97.6; 83.5; 118.2; 94.4; 193.3; 92.6; 118.3; 137.2; 150.8; 112.2; 218.6.
VASP energy for every record listed, in sequence, given in eV per atom: -3.295; -3.346; -2.874; -2.998; -3.703; -3.175; -3.187; -2.395; -1.747; -2.557; -2.461; -3.466.